Record 1
First-principles (PBE) data for Ta4AgCl after structural relaxation, as listed in Alexandria via LeMat-Bulk.

Calculated values
Crystal system   cubic
Total energy   -0.5746 Ry per atom
Energy relative to the elements, uncorrected   867.2 meV/atom
D(E_F)   0.73 states/eV/atom

```
data_Ta4AgCl
_chemical_formula_sum 'Ta16 Ag4 Cl4'
_symmetry_space_group_name_H-M 'F -4 3 m'
_symmetry_Int_Tables_number 216
_symmetry_space_group_name_Hall 'F -4 2 3'
_cell_length_a 7.8399
_cell_length_b 7.8399
_cell_length_c 7.8399
_cell_angle_alpha 90.00
_cell_angle_beta 90.00
_cell_angle_gamma 90.00
loop_
_atom_site_label
_atom_site_type_symbol
_atom_site_fract_x
_atom_site_fract_y
_atom_site_fract_z
_atom_site_occupancy
Ta1 Ta 0.1227 0.1227 0.1227 1
Ag1 Ag 0.2500 0.2500 0.7500 1
Cl1 Cl 0.0000 0.0000 0.5000 1
```

***

Record 2
First-principles (PBE) data for YCuCl4 after structural relaxation, as listed in Alexandria via LeMat-Bulk.

Calculated values
Crystal system   monoclinic
Total energy   -0.3395 Ry per atom
Energy relative to the lowest polymorph listed for this composition   0.00 kJ per mole of atoms
Energy relative to the elements, uncorrected   -1628.6 meV/atom
D(E_F)   0.00 states/eV/atom

```
data_YCuCl4
_chemical_formula_sum 'Y4 Cu4 Cl16'
_symmetry_space_group_name_H-M 'C 1 2/c 1'
_symmetry_Int_Tables_number 15
_symmetry_space_group_name_Hall '-C 2yc'
_cell_length_a 7.7160
_cell_length_b 16.5594
_cell_length_c 6.8258
_cell_angle_alpha 90.00
_cell_angle_beta 122.35
_cell_angle_gamma 90.00
loop_
_atom_site_label
_atom_site_type_symbol
_atom_site_fract_x
_atom_site_fract_y
_atom_site_fract_z
_atom_site_occupancy
Y1 Y 0.0000 0.0655 0.2500 1
Cu1 Cu 0.0000 0.3261 0.7500 1
Cl1 Cl 0.2232 0.1859 0.2425 1
Cl2 Cl 0.2279 0.0471 0.7086 1
```

***

Record 3
First-principles (PBE) data for PrCoSn2 after structural relaxation, as listed in Alexandria via LeMat-Bulk.

Calculated values
Crystal system   trigonal
Total energy   -0.3517 Ry per atom
D(E_F)   1.35 states/eV/atom

```
data_PrCoSn2
_chemical_formula_sum 'Pr3 Co3 Sn6'
_symmetry_space_group_name_H-M 'R -3 m'
_symmetry_Int_Tables_number 166
_symmetry_space_group_name_Hall '-R 3 2"'
_cell_length_a 3.3537
_cell_length_b 3.3537
_cell_length_c 30.7193
_cell_angle_alpha 90.00
_cell_angle_beta 90.00
_cell_angle_gamma 120.00
loop_
_atom_site_label
_atom_site_type_symbol
_atom_site_fract_x
_atom_site_fract_y
_atom_site_fract_z
_atom_site_occupancy
Pr1 Pr 0.0000 0.0000 0.0000 1
Co1 Co 0.0000 0.0000 0.5000 1
Sn1 Sn 0.0000 0.0000 0.1068 1
```

***

Record 4
First-principles (PBE) data for Ac2TbHfO6 after structural relaxation, as listed in Alexandria via LeMat-Bulk.

Calculated values
Crystal system   monoclinic
Total energy   -0.6276 Ry per atom
Energy relative to the elements, uncorrected   -3284.2 meV/atom
D(E_F)   0.36 states/eV/atom

```
data_Ac2TbHfO6
_chemical_formula_sum 'Ac4 Tb2 Hf2 O12'
_symmetry_space_group_name_H-M 'P 1 21/c 1'
_symmetry_Int_Tables_number 14
_symmetry_space_group_name_Hall '-P 2ybc'
_cell_length_a 5.9972
_cell_length_b 6.0778
_cell_length_c 10.3947
_cell_angle_alpha 90.00
_cell_angle_beta 124.95
_cell_angle_gamma 90.00
loop_
_atom_site_label
_atom_site_type_symbol
_atom_site_fract_x
_atom_site_fract_y
_atom_site_fract_z
_atom_site_occupancy
Ac1 Ac 0.2440 0.0540 0.2466 1
Tb1 Tb 0.5000 0.0000 0.0000 1
Hf1 Hf 0.0000 0.0000 0.5000 1
O1 O 0.1310 0.2052 0.9524 1
O2 O 0.2476 0.6864 0.9514 1
O3 O 0.3313 0.0333 0.7390 1
```

***

Record 5
First-principles (PBE) data for Tb2AgSb4 after structural relaxation, as listed in Alexandria via LeMat-Bulk.

Calculated values
Crystal system   tetragonal
Total energy   -0.3466 Ry per atom
Energy relative to the elements, uncorrected   -629.5 meV/atom
D(E_F)   0.40 states/eV/atom

```
data_Tb2AgSb4
_chemical_formula_sum 'Tb2 Ag1 Sb4'
_symmetry_space_group_name_H-M 'P -4 m 2'
_symmetry_Int_Tables_number 115
_symmetry_space_group_name_Hall 'P -4 -2'
_cell_length_a 4.4084
_cell_length_b 4.4084
_cell_length_c 9.7155
_cell_angle_alpha 90.00
_cell_angle_beta 90.00
_cell_angle_gamma 90.00
loop_
_atom_site_label
_atom_site_type_symbol
_atom_site_fract_x
_atom_site_fract_y
_atom_site_fract_z
_atom_site_occupancy
Tb1 Tb 0.0000 0.5000 0.2485 1
Ag1 Ag 0.5000 0.5000 0.0000 1
Sb1 Sb 0.0000 0.0000 0.5000 1
Sb2 Sb 0.0000 0.5000 0.8322 1
Sb3 Sb 0.5000 0.5000 0.5000 1
```

***

Record 6
First-principles (PBE) data for Ac8Ni2Ru after structural relaxation, as listed in Alexandria via LeMat-Bulk.

Calculated values
Crystal system   monoclinic
Total energy   -0.3696 Ry per atom
Energy relative to the lowest polymorph listed for this composition   0.00 kJ per mole of atoms
D(E_F)   0.95 states/eV/atom

```
data_Ac8Ni2Ru
_chemical_formula_sum 'Ac16 Ni4 Ru2'
_symmetry_space_group_name_H-M 'C 1 2/m 1'
_symmetry_Int_Tables_number 12
_symmetry_space_group_name_Hall '-C 2y'
_cell_length_a 20.0569
_cell_length_b 4.1207
_cell_length_c 9.6487
_cell_angle_alpha 90.00
_cell_angle_beta 93.40
_cell_angle_gamma 90.00
loop_
_atom_site_label
_atom_site_type_symbol
_atom_site_fract_x
_atom_site_fract_y
_atom_site_fract_z
_atom_site_occupancy
Ac1 Ac 0.0150 0.0000 0.2070 1
Ac2 Ac 0.0988 0.5000 0.5471 1
Ac3 Ac 0.1488 0.5000 0.9597 1
Ac4 Ac 0.2257 0.0000 0.3278 1
Ni1 Ni 0.1659 0.0000 0.7277 1
Ru1 Ru 0.0000 0.5000 0.0000 1
```

***

Record 7
First-principles (PBE) data for MgPb3O after structural relaxation, as listed in Alexandria via LeMat-Bulk.

Calculated values
Crystal system   cubic
Total energy   -0.2792 Ry per atom
Energy relative to the lowest polymorph listed for this composition   0.00 kJ per mole of atoms
Energy relative to the elements, uncorrected   -263.0 meV/atom
D(E_F)   0.35 states/eV/atom

```
data_MgPb3O
_chemical_formula_sum 'Mg1 Pb3 O1'
_symmetry_space_group_name_H-M 'P m -3 m'
_symmetry_Int_Tables_number 221
_symmetry_space_group_name_Hall '-P 4 2 3'
_cell_length_a 5.0540
_cell_length_b 5.0540
_cell_length_c 5.0540
_cell_angle_alpha 90.00
_cell_angle_beta 90.00
_cell_angle_gamma 90.00
loop_
_atom_site_label
_atom_site_type_symbol
_atom_site_fract_x
_atom_site_fract_y
_atom_site_fract_z
_atom_site_occupancy
Mg1 Mg 0.0000 0.0000 0.0000 1
Pb1 Pb 0.0000 0.5000 0.5000 1
O1 O 0.5000 0.5000 0.5000 1
```

***

Record 8
First-principles (PBE) data for FeCu2Pt after structural relaxation, as listed in Alexandria via LeMat-Bulk.

Calculated values
Crystal system   tetragonal
Total energy   -0.4221 Ry per atom
D(E_F)   0.60 states/eV/atom

```
data_FeCu2Pt
_chemical_formula_sum 'Fe2 Cu4 Pt2'
_symmetry_space_group_name_H-M 'I 4/m m m'
_symmetry_Int_Tables_number 139
_symmetry_space_group_name_Hall '-I 4 2'
_cell_length_a 3.7157
_cell_length_b 3.7157
_cell_length_c 7.5936
_cell_angle_alpha 90.00
_cell_angle_beta 90.00
_cell_angle_gamma 90.00
loop_
_atom_site_label
_atom_site_type_symbol
_atom_site_fract_x
_atom_site_fract_y
_atom_site_fract_z
_atom_site_occupancy
Fe1 Fe 0.0000 0.0000 0.0000 1
Cu1 Cu 0.0000 0.5000 0.2500 1
Pt1 Pt 0.0000 0.0000 0.5000 1
```

***

Question: Which value of D(E_F) does entry 5 give?
Answer: 0.40 states/eV/atom

***

Question: Look up the total energy of the first one.
Answer: -0.5746 Ry per atom

***

Question: Among the records above, which one has the highest D(E_F)?
Answer: PrCoSn2

***

Question: Among the records above, which one has the highest D(E_F)?
Answer: PrCoSn2